! HIrPtW2, relaxed, DFT GGA-PBE; values from VASP
&SYSTEM
  ibrav = 0, nat = 5, ntyp = 4
/
ATOMIC_SPECIES
H 1.01 H.upf
Ir 192.22 Ir.upf
W 183.84 W.upf
Pt 195.08 Pt.upf
ATOMIC_POSITIONS angstrom
H 0.000 0.000 0.000
Ir 1.968 1.968 2.058
W 0.000 1.968 0.000
W 1.968 0.000 0.000
Pt 0.000 0.000 2.058
CELL_PARAMETERS angstrom
3.937 0.000 0.000
0.000 3.937 0.000
0.000 0.000 4.115
! magnetic moment	0.0	μB/cell

! HIrPtW2, relaxed, DFT GGA-PBE; values from VASP
&SYSTEM
  ibrav = 0, nat = 5, ntyp = 4
/
ATOMIC_SPECIES
H 1.01 H.upf
Ir 192.22 Ir.upf
W 183.84 W.upf
Pt 195.08 Pt.upf
ATOMIC_POSITIONS angstrom
H 0.000 0.000 0.000
Ir -0.198 1.748 1.037
W 1.043 -0.766 1.491
W -1.665 -0.674 0.818
Pt -0.821 0.308 3.346
CELL_PARAMETERS angstrom
-3.331 -1.348 1.636
2.085 -1.532 2.982
-0.396 3.496 2.074
! magnetic moment	0.0	μB/cell

! YH8Ir2Pt, relaxed, DFT GGA-PBE; values from VASP
&SYSTEM
  ibrav = 0, nat = 12, ntyp = 4
/
ATOMIC_SPECIES
Y 88.91 Y.upf
H 1.01 H.upf
Ir 192.22 Ir.upf
Pt 195.08 Pt.upf
ATOMIC_POSITIONS angstrom
Y 4.038 3.331 3.032
H 6.056 4.523 3.354
H 4.038 2.399 0.938
H 2.019 2.138 2.710
H 4.038 4.262 5.126
H 3.030 0.569 1.407
H 5.045 6.093 4.657
H 1.007 0.569 1.407
H 7.068 6.093 4.657
Ir 2.019 1.879 1.088
Ir 6.056 4.782 4.976
Pt 0.000 0.000 0.000
CELL_PARAMETERS angstrom
4.038 0.000 0.000
2.019 4.608 0.253
2.019 2.053 5.811
! magnetic moment	0.0	μB/cell

! ZnH6Ir2Pt, relaxed, DFT GGA-PBE; values from VASP
&SYSTEM
  ibrav = 0, nat = 20, ntyp = 4
/
ATOMIC_SPECIES
Zn 65.41 Zn.upf
H 1.01 H.upf
Ir 192.22 Ir.upf
Pt 195.08 Pt.upf
ATOMIC_POSITIONS angstrom
Zn -2.967 -2.883 0.320
Zn -1.276 1.189 4.496
H -4.265 1.656 1.846
H -1.581 1.562 2.033
H 0.022 -3.351 2.970
H -2.663 -3.257 2.783
H 2.256 -1.078 4.866
H -4.845 -0.259 2.788
H -6.500 -0.616 -0.049
H 0.602 -1.436 2.028
H -1.966 -1.625 1.633
H -3.938 -1.060 0.118
H -2.277 -0.069 3.183
H -0.305 -0.635 4.699
Ir 0.992 -0.615 3.630
Ir -3.581 -0.712 4.027
Ir -5.236 -1.080 1.186
Ir -0.662 -0.982 0.790
Pt -2.934 0.541 1.555
Pt -1.310 -2.236 3.262
CELL_PARAMETERS angstrom
-3.722 4.270 1.545
-3.806 -4.208 -1.512
3.285 -1.757 4.783
! magnetic moment	0.0	μB/cell

! Zn2HIrPt, relaxed, DFT GGA-PBE; values from VASP
&SYSTEM
  ibrav = 0, nat = 5, ntyp = 4
/
ATOMIC_SPECIES
H 1.01 H.upf
Zn 65.41 Zn.upf
Ir 192.22 Ir.upf
Pt 195.08 Pt.upf
ATOMIC_POSITIONS angstrom
H 0.000 0.000 0.000
Zn 0.000 2.085 0.000
Zn 2.085 0.000 0.000
Ir 0.000 0.000 1.749
Pt 2.085 2.085 1.749
CELL_PARAMETERS angstrom
4.170 0.000 0.000
0.000 4.170 0.000
0.000 0.000 3.497
! magnetic moment	0.0	μB/cell

! ZnHIrPt2, relaxed, DFT GGA-PBE; values from VASP
&SYSTEM
  ibrav = 0, nat = 5, ntyp = 4
/
ATOMIC_SPECIES
H 1.01 H.upf
Zn 65.41 Zn.upf
Ir 192.22 Ir.upf
Pt 195.08 Pt.upf
ATOMIC_POSITIONS angstrom
H 0.000 0.000 0.000
Zn 1.987 1.987 1.991
Ir 0.000 0.000 1.991
Pt 0.000 1.987 0.000
Pt 1.987 0.000 0.000
CELL_PARAMETERS angstrom
3.974 0.000 0.000
0.000 3.974 0.000
0.000 0.000 3.982
! magnetic moment	0.0	μB/cell

Mass density across the listed records, respectively: 19.683 19.719 10.594 12.495 14.171 17.136 g/cm3.
Raw total energy across the listed records, respectively: -8.841 -8.863 -4.893 -4.366 -4.355 -5.165 eV/atom.